(1)
A relaxed FeSbAu2 crystal, computed with PBE-GGA.

Cell: 8.577 8.577 8.577 Å, 22.21 22.21 22.21°
Element x y z (fractional)
Au: 0.990 0.990 0.990
Au: 0.510 0.510 0.510
Fe: 0.250 0.250 0.250
Sb: 0.750 0.750 0.750

## Properties
- space group = R-3m (166)
- raw formation energy (eV per atom) = 0.294
- M_tot (μB per formula unit) = 3.3
- VASP energy (eV/atom) = -4.49

(2)
A relaxed FeSbAu2 crystal, computed with PBE-GGA.

Cell: 5.132 5.132 5.132 Å, 131.81 131.81 70.53°
Element x y z (fractional)
Au: 0.000 0.000 0.000
Au: 0.250 0.750 0.500
Fe: 0.500 0.500 0.000
Sb: 0.750 0.250 0.500

## Properties
- space group = I-4m2 (119)
- raw formation energy (eV per atom) = 0.254
- M_tot (μB per formula unit) = 2.7
- VASP energy (eV/atom) = -4.53

(3)
A relaxed FeSbAu2 crystal, computed with PBE-GGA.

Cell: 4.098 4.098 4.377 Å, 90.00 90.00 90.00°
Element x y z (fractional)
Au: 0.000 0.000 0.000
Au: 0.500 0.500 0.000
Fe: 0.500 0.000 0.500
Sb: 0.000 0.500 0.500

## Properties
- space group = P4/mmm (123)
- raw formation energy (eV per atom) = 0.221
- M_tot (μB per formula unit) = 3.0
- VASP energy (eV/atom) = -4.56

(4)
A relaxed FeSb2Au crystal, computed with PBE-GGA.

Cell: 6.897 6.897 6.897 Å, 153.91 145.31 43.92°
Element x y z (fractional)
Au: 0.567 0.567 0.000
Fe: 0.769 0.269 0.500
Sb: 0.937 0.937 0.000
Sb: 0.227 0.727 0.500

## Properties
- space group = Imm2 (44)
- raw formation energy (eV per atom) = 0.189
- M_tot (μB per formula unit) = 1.2
- VASP energy (eV/atom) = -4.81

(5)
A relaxed FeSbAu2 crystal, computed with PBE-GGA.

Cell: 5.209 5.209 5.212 Å, 64.74 64.74 36.41°
Element x y z (fractional)
Au: 0.013 0.013 0.959
Au: 0.781 0.781 0.792
Fe: 0.489 0.489 0.399
Sb: 0.216 0.216 0.350

## Properties
- space group = Cm (8)
- raw formation energy (eV per atom) = 0.211
- M_tot (μB per formula unit) = 2.6
- VASP energy (eV/atom) = -4.57

(6)
A relaxed FeSb2Au crystal, computed with PBE-GGA.

Cell: 6.619 6.619 6.619 Å, 36.60 36.60 36.60°
Element x y z (fractional)
Au: 0.483 0.483 0.483
Fe: 0.762 0.762 0.762
Sb: 0.030 0.030 0.030
Sb: 0.224 0.224 0.224

## Properties
- space group = R3m (160)
- raw formation energy (eV per atom) = 0.195
- M_tot (μB per formula unit) = 2.5
- VASP energy (eV/atom) = -4.80

(7)
A relaxed FeSbAu2 crystal, computed with PBE-GGA.

Cell: 7.623 7.623 5.992 Å, 50.50 50.50 90.00°
Element x y z (fractional)
Sb: 0.000 0.000 0.000
Sb: 0.750 0.250 0.500
Au: 0.596 0.125 0.250
Au: 0.154 0.625 0.250
Au: 0.375 0.404 0.750
Au: 0.875 0.846 0.750
Fe: 0.500 0.500 0.000
Fe: 0.250 0.750 0.500

## Properties
- space group = I-42d (122)
- raw formation energy (eV per atom) = 0.442
- M_tot (μB per formula unit) = 0.1
- VASP energy (eV/atom) = -4.34

(8)
A relaxed FeSb2Au crystal, computed with PBE-GGA.

Cell: 3.908 3.983 5.867 Å, 65.41 90.00 90.00°
Element x y z (fractional)
Au: 0.000 0.664 0.455
Fe: 0.500 0.584 0.806
Sb: 0.000 0.002 0.918
Sb: 0.500 0.249 0.321

## Properties
- space group = Pm (6)
- raw formation energy (eV per atom) = 0.146
- M_tot (μB per formula unit) = 2.6
- VASP energy (eV/atom) = -4.85

(9)
A relaxed FeSb2Au crystal, computed with PBE-GGA.

Cell: 4.732 7.645 3.651 Å, 61.70 89.84 128.67°
Element x y z (fractional)
Au: 0.500 0.500 0.000
Fe: 0.500 0.000 0.500
Sb: 0.000 0.000 0.000
Sb: 0.000 0.500 0.500

## Properties
- space group = C2/m (12)
- raw formation energy (eV per atom) = 0.333
- M_tot (μB per formula unit) = 2.5
- VASP energy (eV/atom) = -4.66

(10)
A relaxed FeSb2Au crystal, computed with PBE-GGA.

Cell: 3.187 3.110 8.194 Å, 89.83 90.00 90.00°
Element x y z (fractional)
Au: 0.500 0.250 0.250
Fe: 0.500 0.750 0.750
Sb: 0.000 0.248 0.946
Sb: 0.000 0.252 0.554

## Properties
- space group = P2/m (10)
- raw formation energy (eV per atom) = 0.190
- M_tot (μB per formula unit) = 1.0
- VASP energy (eV/atom) = -4.81

(11)
A relaxed FeSb2Au crystal, computed with PBE-GGA.

Cell: 4.477 4.477 6.632 Å, 71.23 71.23 48.23°
Element x y z (fractional)
Au: 0.504 0.504 0.457
Fe: 0.255 0.255 0.284
Sb: 0.004 0.004 0.095
Sb: 0.737 0.737 0.664

## Properties
- space group = Cm (8)
- raw formation energy (eV per atom) = 0.188
- M_tot (μB per formula unit) = 2.5
- VASP energy (eV/atom) = -4.81

(12)
A relaxed FeSbAu2 crystal, computed with PBE-GGA.

Cell: 4.305 4.305 4.089 Å, 90.00 90.00 99.27°
Element x y z (fractional)
Au: 0.000 0.000 0.000
Au: 0.500 0.500 0.000
Fe: 0.500 0.000 0.500
Sb: 0.000 0.500 0.500

## Properties
- space group = Cmmm (65)
- raw formation energy (eV per atom) = 0.224
- M_tot (μB per formula unit) = 3.1
- VASP energy (eV/atom) = -4.56

(13)
A relaxed Fe4SbAu crystal, computed with PBE-GGA.

Cell: 4.975 4.975 4.975 Å, 60.00 60.00 60.00°
Element x y z (fractional)
Fe: 0.875 0.375 0.375
Fe: 0.375 0.375 0.875
Fe: 0.375 0.875 0.375
Fe: 0.375 0.375 0.375
Sb: 0.750 0.750 0.750
Au: 0.000 0.000 0.000

## Properties
- space group = F-43m (216)
- raw formation energy (eV per atom) = 0.214
- M_tot (μB per formula unit) = 9.9
- VASP energy (eV/atom) = -6.66

(14)
A relaxed Fe3SbAu crystal, computed with PBE-GGA.

Cell: 4.769 4.769 4.769 Å, 90.00 90.00 90.00°
Element x y z (fractional)
Sb: 0.500 0.500 0.500
Au: 0.000 0.000 0.000
Fe: 0.000 0.500 0.000
Fe: 0.000 0.000 0.500
Fe: 0.500 0.000 0.000

## Properties
- space group = Pm-3m (221)
- raw formation energy (eV per atom) = 1.126
- M_tot (μB per formula unit) = 9.7
- energy above the lowest structure with this stoichiometry (meV/atom) = 0
- VASP energy (eV/atom) = -5.43

(15)
A relaxed FeSb2Au crystal, computed with PBE-GGA.

Cell: 3.413 3.419 6.857 Å, 90.00 90.00 90.00°
Element x y z (fractional)
Au: 0.500 0.500 0.250
Fe: 0.500 0.500 0.750
Sb: 0.000 0.000 0.973
Sb: 0.000 0.000 0.527

## Properties
- space group = P4/mmm (123)
- raw formation energy (eV per atom) = 0.258
- M_tot (μB per formula unit) = 1.8
- VASP energy (eV/atom) = -4.74

(16)
A relaxed FeSb2Au crystal, computed with PBE-GGA.

Cell: 4.800 4.800 4.800 Å, 60.00 60.00 60.00°
Element x y z (fractional)
Sb: 0.250 0.250 0.250
Sb: 0.750 0.750 0.750
Au: 0.500 0.500 0.500
Fe: 0.000 0.000 0.000

## Properties
- space group = Fm-3m (225)
- raw formation energy (eV per atom) = 0.519
- M_tot (μB per formula unit) = 0.0
- VASP energy (eV/atom) = -4.48

(17)
A relaxed FeSb2Au crystal, computed with PBE-GGA.

Cell: 4.330 4.330 6.189 Å, 77.01 77.01 48.59°
Element x y z (fractional)
Au: 0.750 0.750 0.750
Fe: 0.250 0.250 0.250
Sb: 0.984 0.984 0.038
Sb: 0.516 0.516 0.462

## Properties
- space group = C2/m (12)
- raw formation energy (eV per atom) = 0.219
- M_tot (μB per formula unit) = 2.1
- VASP energy (eV/atom) = -4.78

(18)
A relaxed FeSbAu4 crystal, computed with PBE-GGA.

Cell: 5.538 5.538 5.538 Å, 60.00 60.00 60.00°
Element x y z (fractional)
Fe: 0.750 0.750 0.750
Sb: 0.000 0.000 0.000
Au: 0.874 0.375 0.375
Au: 0.375 0.375 0.874
Au: 0.375 0.874 0.375
Au: 0.375 0.375 0.375

## Properties
- space group = F-43m (216)
- raw formation energy (eV per atom) = 0.354
- M_tot (μB per formula unit) = 3.4
- VASP energy (eV/atom) = -3.93

(19)
A relaxed Sc2FeSbAu crystal, computed with PBE-GGA.

Cell: 4.824 4.659 4.824 Å, 90.00 90.00 90.00°
Element x y z (fractional)
Sc: 0.000 0.000 0.500
Sc: 0.500 0.000 0.000
Sb: 0.000 0.500 0.000
Au: 0.500 0.500 0.500
Fe: 0.000 0.000 0.000

## Properties
- space group = P4/mmm (123)
- raw formation energy (eV per atom) = -0.182
- M_tot (μB per formula unit) = 0.0
- VASP energy (eV/atom) = -5.89

(20)
A relaxed FeSn2SbAu crystal, computed with PBE-GGA.

Cell: 5.317 4.919 5.317 Å, 90.00 90.00 90.00°
Element x y z (fractional)
Sb: 0.500 0.500 0.500
Au: 0.000 0.000 0.000
Sn: 0.000 0.000 0.500
Sn: 0.500 0.000 0.000
Fe: 0.000 0.500 0.000

## Properties
- space group = P4/mmm (123)
- raw formation energy (eV per atom) = 0.626
- M_tot (μB per formula unit) = 3.4
- VASP energy (eV/atom) = -4.15

(21)
A relaxed Fe2SbTeAu crystal, computed with PBE-GGA.

Cell: 4.648 5.268 4.648 Å, 90.00 90.00 90.00°
Element x y z (fractional)
Sb: 0.500 0.500 0.500
Te: 0.000 0.000 0.000
Au: 0.000 0.500 0.000
Fe: 0.000 0.000 0.500
Fe: 0.500 0.000 0.000

## Properties
- space group = P4/mmm (123)
- raw formation energy (eV per atom) = 1.023
- M_tot (μB per formula unit) = 4.6
- VASP energy (eV/atom) = -4.47

(22)
A relaxed FeSbTe2Au crystal, computed with PBE-GGA.

Cell: 5.068 5.068 4.808 Å, 90.00 90.00 90.00°
Element x y z (fractional)
Sb: 0.000 0.000 0.500
Te: 0.000 0.500 0.000
Te: 0.500 0.000 0.000
Au: 0.500 0.500 0.500
Fe: 0.000 0.000 0.000

## Properties
- space group = P4/mmm (123)
- raw formation energy (eV per atom) = 0.528
- M_tot (μB per formula unit) = 0.0
- energy above the lowest structure with this stoichiometry (meV/atom) = 0
- VASP energy (eV/atom) = -3.90

(23)
A relaxed ScFeAu3 crystal, computed with PBE-GGA.

Cell: 4.794 4.794 4.794 Å, 90.00 90.00 90.00°
Element x y z (fractional)
Sc: 0.500 0.500 0.500
Au: 0.000 0.500 0.000
Au: 0.000 0.000 0.500
Au: 0.500 0.000 0.000
Fe: 0.000 0.000 0.000

## Properties
- space group = Pm-3m (221)
- calculated formation energy (eV per atom) = 0.314
- M_tot (μB per formula unit) = 3.1
- energy above the lowest structure with this stoichiometry (meV/atom) = 0
- VASP energy (eV/atom) = -4.61

(24)
A relaxed ScFeAu crystal, computed with PBE-GGA.

Cell: 4.422 4.422 4.422 Å, 60.00 60.00 60.00°
Element x y z (fractional)
Au: 0.000 0.000 0.000
Fe: 0.500 0.500 0.500
Sc: 0.750 0.750 0.750

## Properties
- space group = F-43m (216)
- calculated formation energy (eV per atom) = 0.359
- M_tot (μB per formula unit) = 2.2
- VASP energy (eV/atom) = -5.66

(25)
A relaxed ScFe2Au crystal, computed with PBE-GGA.

Cell: 3.788 3.788 9.813 Å, 78.87 78.87 90.00°
Element x y z (fractional)
Sc: 0.500 0.500 0.000
Sc: 0.250 0.750 0.500
Au: 0.000 0.000 0.000
Au: 0.750 0.250 0.500
Fe: 0.628 0.125 0.250
Fe: 0.122 0.625 0.250
Fe: 0.375 0.372 0.750
Fe: 0.875 0.878 0.750

## Properties
- space group = I-42d (122)
- calculated formation energy (eV per atom) = 0.213
- M_tot (μB per formula unit) = 4.7
- VASP energy (eV/atom) = -6.42

(26)
A relaxed ScFe2Au crystal, computed with PBE-GGA.

Cell: 8.993 8.993 8.993 Å, 18.66 18.66 18.66°
Element x y z (fractional)
Au: 0.750 0.750 0.750
Fe: 0.001 0.001 0.001
Fe: 0.499 0.499 0.499
Sc: 0.250 0.250 0.250

## Properties
- space group = R-3m (166)
- calculated formation energy (eV per atom) = 0.272
- M_tot (μB per formula unit) = 5.0
- VASP energy (eV/atom) = -6.36

(27)
A relaxed ScFeAu crystal, computed with PBE-GGA.

Cell: 5.097 5.097 3.377 Å, 70.65 70.65 38.69°
Element x y z (fractional)
Au: 0.006 0.006 0.994
Fe: 0.665 0.665 0.335
Sc: 0.329 0.329 0.671

## Properties
- space group = I4mm (107)
- calculated formation energy (eV per atom) = -0.239
- M_tot (μB per formula unit) = 2.4
- VASP energy (eV/atom) = -6.26

(28)
A relaxed ScFe2Au crystal, computed with PBE-GGA.

Cell: 8.496 8.496 8.496 Å, 20.35 20.35 20.35°
Element x y z (fractional)
Au: 0.745 0.745 0.745
Fe: 0.992 0.992 0.992
Fe: 0.257 0.257 0.257
Sc: 0.507 0.507 0.507

## Properties
- space group = R3m (160)
- calculated formation energy (eV per atom) = 0.125
- M_tot (μB per formula unit) = 4.9
- VASP energy (eV/atom) = -6.51

(29)
A relaxed ScFe2Au crystal, computed with PBE-GGA.

Cell: 4.521 2.840 5.014 Å, 83.34 90.00 90.00°
Element x y z (fractional)
Au: 0.500 0.750 0.750
Fe: 0.000 0.932 0.021
Fe: 0.000 0.568 0.479
Sc: 0.500 0.250 0.250

## Properties
- space group = P2/m (10)
- calculated formation energy (eV per atom) = 0.054
- M_tot (μB per formula unit) = 4.6
- VASP energy (eV/atom) = -6.58

(30)
A relaxed ScFe2Au crystal, computed with PBE-GGA.

Cell: 3.164 3.152 7.040 Å, 63.40 90.00 90.00°
Element x y z (fractional)
Au: 0.500 0.731 0.769
Fe: 0.000 0.964 0.036
Fe: 0.500 0.285 0.215
Sc: 0.000 0.520 0.480

## Properties
- space group = Pmm2 (25)
- calculated formation energy (eV per atom) = -0.160
- M_tot (μB per formula unit) = 4.8
- VASP energy (eV/atom) = -6.79